A relaxed structure of AsPt2Cl. Source: Alexandria, functional PBE.

a = 3.217 Å, b = 6.681 Å, c = 7.801 Å
α = 90.00°, β = 90.00°, γ = 90.00°
Space group Immm (No. 71)
Unique sites:
As: 0.000 0.000 0.000
Pt: 0.000 0.500 0.274
Cl: 0.000 0.000 0.500

Values from the calculation:
Energy relative to the lowest polymorph listed for this composition   419 meV/atom
Total energy   -35.4 eV/cell
Uncorrected formation energy   0.22 eV/atom